Record 1
DFT (PBE) results for a relaxed YNbZn3 crystal.

```
data_YNbZn3
_cell_length_a 5.040
_cell_length_b 5.040
_cell_length_c 5.040
_cell_angle_alpha 90.00
_cell_angle_beta 90.00
_cell_angle_gamma 90.00
_symmetry_space_group_name_H-M 'P m -3 m'
_symmetry_Int_Tables_number 221
_symmetry_space_group_name_Hall '-P 4 2 3'
loop_
_atom_site_label
_atom_site_type_symbol
_atom_site_fract_x
_atom_site_fract_y
_atom_site_fract_z
Y1 Y 0.000 0.000 0.000
Nb1 Nb 0.500 0.500 0.500
Zn1 Zn 0.000 0.000 0.500
```

Calculated values
- ρ (g/cm3) = 4.90
- energy above the most stable polymorph in this dataset (kJ per mole of atoms) = 97.50
- D(E_F) (states/eV/f.u.) = 3.56
- size of the total moment (Bohr magnetons per cell) = 0.00
- E_form (meV/atom) = 1514.8



Record 2
DFT (PBE) results for a relaxed YNbZn2 crystal.

```
data_YNbZn2
_cell_length_a 6.738
_cell_length_b 6.738
_cell_length_c 6.738
_cell_angle_alpha 90.00
_cell_angle_beta 90.00
_cell_angle_gamma 90.00
_symmetry_space_group_name_H-M 'F m -3 m'
_symmetry_Int_Tables_number 225
_symmetry_space_group_name_Hall '-F 4 2 3'
loop_
_atom_site_label
_atom_site_type_symbol
_atom_site_fract_x
_atom_site_fract_y
_atom_site_fract_z
Y1 Y 0.000 0.000 0.000
Nb1 Nb 0.000 0.000 0.500
Zn1 Zn 0.250 0.250 0.250
```

Calculated values
- ρ (g/cm3) = 6.79
- energy above the most stable polymorph in this dataset (kJ per mole of atoms) = 0.00
- D(E_F) (states/eV/f.u.) = 0.74
- size of the total moment (Bohr magnetons per cell) = 0.00
- E_form (meV/atom) = -29.8



Record 3
DFT (PBE) results for a relaxed Y2Zr2Nb crystal.

```
data_Y2Zr2Nb
_cell_length_a 7.188
_cell_length_b 7.188
_cell_length_c 5.079
_cell_angle_alpha 90.00
_cell_angle_beta 90.00
_cell_angle_gamma 90.00
_symmetry_space_group_name_H-M 'P 4/m b m'
_symmetry_Int_Tables_number 127
_symmetry_space_group_name_Hall '-P 4 2ab'
loop_
_atom_site_label
_atom_site_type_symbol
_atom_site_fract_x
_atom_site_fract_y
_atom_site_fract_z
Y1 Y 0.168 0.332 0.000
Zr1 Zr 0.145 0.645 0.500
Nb1 Nb 0.000 0.000 0.500
```

Calculated values
- ρ (g/cm3) = 5.73
- D(E_F) (states/eV/f.u.) = 7.51
- size of the total moment (Bohr magnetons per cell) = 0.00
- E_form (meV/atom) = 306.7



Record 4
DFT (PBE) results for a relaxed YZrNb crystal.

```
data_YZrNb
_cell_length_a 11.532
_cell_length_b 3.608
_cell_length_c 7.483
_cell_angle_alpha 90.00
_cell_angle_beta 109.07
_cell_angle_gamma 90.00
_symmetry_space_group_name_H-M 'C 1 2/m 1'
_symmetry_Int_Tables_number 12
_symmetry_space_group_name_Hall '-C 2y'
loop_
_atom_site_label
_atom_site_type_symbol
_atom_site_fract_x
_atom_site_fract_y
_atom_site_fract_z
Y1 Y 0.000 0.000 0.000
Y2 Y 0.000 0.000 0.500
Zr1 Zr 0.199 0.500 0.331
Nb1 Nb 0.194 0.500 0.867
```

Calculated values
- ρ (g/cm3) = 6.16
- energy above the most stable polymorph in this dataset (kJ per mole of atoms) = 0.00
- D(E_F) (states/eV/f.u.) = 3.74
- size of the total moment (Bohr magnetons per cell) = 0.00
- E_form (meV/atom) = 132.8



Record 5
DFT (PBE) results for a relaxed YZrNb crystal.

```
data_YZrNb
_cell_length_a 10.915
_cell_length_b 5.061
_cell_length_c 6.395
_cell_angle_alpha 90.00
_cell_angle_beta 124.94
_cell_angle_gamma 90.00
_symmetry_space_group_name_H-M 'C 1 2/m 1'
_symmetry_Int_Tables_number 12
_symmetry_space_group_name_Hall '-C 2y'
loop_
_atom_site_label
_atom_site_type_symbol
_atom_site_fract_x
_atom_site_fract_y
_atom_site_fract_z
Y1 Y 0.173 0.000 0.076
Zr1 Zr 0.049 0.500 0.305
Nb1 Nb 0.131 0.000 0.528
```

Calculated values
- ρ (g/cm3) = 6.26
- energy above the most stable polymorph in this dataset (kJ per mole of atoms) = 1.52
- D(E_F) (states/eV/f.u.) = 3.15
- size of the total moment (Bohr magnetons per cell) = 0.00
- E_form (meV/atom) = 148.6



Record 6
DFT (PBE) results for a relaxed YZrNb crystal.

```
data_YZrNb
_cell_length_a 5.001
_cell_length_b 5.986
_cell_length_c 6.108
_cell_angle_alpha 94.89
_cell_angle_beta 114.12
_cell_angle_gamma 114.68
_symmetry_space_group_name_H-M 'P 1'
_symmetry_Int_Tables_number 1
_symmetry_space_group_name_Hall 'P 1'
loop_
_atom_site_label
_atom_site_type_symbol
_atom_site_fract_x
_atom_site_fract_y
_atom_site_fract_z
Y1 Y 0.000 0.000 0.000
Y2 Y 0.187 0.540 0.836
Zr1 Zr 0.702 0.995 0.407
Zr2 Zr 0.858 0.493 0.225
Nb1 Nb 0.344 0.060 0.628
Nb2 Nb 0.470 0.479 0.462
```

Calculated values
- ρ (g/cm3) = 6.29
- energy above the most stable polymorph in this dataset (kJ per mole of atoms) = 5.10
- D(E_F) (states/eV/f.u.) = 3.43
- size of the total moment (Bohr magnetons per cell) = 0.00
- E_form (meV/atom) = 185.7



Record 7
DFT (PBE) results for a relaxed YZr2Nb2 crystal.

```
data_YZr2Nb2
_cell_length_a 8.036
_cell_length_b 8.036
_cell_length_c 3.595
_cell_angle_alpha 90.00
_cell_angle_beta 90.00
_cell_angle_gamma 90.00
_symmetry_space_group_name_H-M 'P 4/m b m'
_symmetry_Int_Tables_number 127
_symmetry_space_group_name_Hall '-P 4 2ab'
loop_
_atom_site_label
_atom_site_type_symbol
_atom_site_fract_x
_atom_site_fract_y
_atom_site_fract_z
Y1 Y 0.000 0.000 0.000
Zr1 Zr 0.170 0.330 0.500
Nb1 Nb 0.120 0.620 0.000
```

Calculated values
- ρ (g/cm3) = 6.54
- D(E_F) (states/eV/f.u.) = 6.48
- size of the total moment (Bohr magnetons per cell) = 0.00
- E_form (meV/atom) = 201.0



Record 8
DFT (PBE) results for a relaxed YZrNb2 crystal.

```
data_YZrNb2
_cell_length_a 7.762
_cell_length_b 7.762
_cell_length_c 6.029
_cell_angle_alpha 90.00
_cell_angle_beta 90.00
_cell_angle_gamma 90.00
_symmetry_space_group_name_H-M 'I -4 2 d'
_symmetry_Int_Tables_number 122
_symmetry_space_group_name_Hall 'I -4 2bw'
loop_
_atom_site_label
_atom_site_type_symbol
_atom_site_fract_x
_atom_site_fract_y
_atom_site_fract_z
Y1 Y 0.000 0.000 0.000
Zr1 Zr 0.000 0.000 0.500
Nb1 Nb 0.238 0.250 0.625
```

Calculated values
- ρ (g/cm3) = 6.69
- energy above the most stable polymorph in this dataset (kJ per mole of atoms) = 37.56
- D(E_F) (states/eV/f.u.) = 5.33
- size of the total moment (Bohr magnetons per cell) = 0.00
- E_form (meV/atom) = 740.9



Repeat the first record exactly.
DFT (PBE) results for a relaxed YNbZn3 crystal.

```
data_YNbZn3
_cell_length_a 5.040
_cell_length_b 5.040
_cell_length_c 5.040
_cell_angle_alpha 90.00
_cell_angle_beta 90.00
_cell_angle_gamma 90.00
_symmetry_space_group_name_H-M 'P m -3 m'
_symmetry_Int_Tables_number 221
_symmetry_space_group_name_Hall '-P 4 2 3'
loop_
_atom_site_label
_atom_site_type_symbol
_atom_site_fract_x
_atom_site_fract_y
_atom_site_fract_z
Y1 Y 0.000 0.000 0.000
Nb1 Nb 0.500 0.500 0.500
Zn1 Zn 0.000 0.000 0.500
```

Calculated values
- ρ (g/cm3) = 4.90
- energy above the most stable polymorph in this dataset (kJ per mole of atoms) = 97.50
- D(E_F) (states/eV/f.u.) = 3.56
- size of the total moment (Bohr magnetons per cell) = 0.00
- E_form (meV/atom) = 1514.8



Copy entry 1 word for word.
DFT (PBE) results for a relaxed YNbZn3 crystal.

```
data_YNbZn3
_cell_length_a 5.040
_cell_length_b 5.040
_cell_length_c 5.040
_cell_angle_alpha 90.00
_cell_angle_beta 90.00
_cell_angle_gamma 90.00
_symmetry_space_group_name_H-M 'P m -3 m'
_symmetry_Int_Tables_number 221
_symmetry_space_group_name_Hall '-P 4 2 3'
loop_
_atom_site_label
_atom_site_type_symbol
_atom_site_fract_x
_atom_site_fract_y
_atom_site_fract_z
Y1 Y 0.000 0.000 0.000
Nb1 Nb 0.500 0.500 0.500
Zn1 Zn 0.000 0.000 0.500
```

Calculated values
- ρ (g/cm3) = 4.90
- energy above the most stable polymorph in this dataset (kJ per mole of atoms) = 97.50
- D(E_F) (states/eV/f.u.) = 3.56
- size of the total moment (Bohr magnetons per cell) = 0.00
- E_form (meV/atom) = 1514.8